DFT (PBE) results for a relaxed structure of Ba3Sr2Zn2Ga4.

```
Ba3Sr2Zn2Ga4
1.0
4.437 0.000 0.000
-2.219 3.843 0.000
0.000 0.000 22.768
Ba Sr Zn Ga
3 2 2 4
direct
0.000 0.000 0.000
0.000 0.000 0.224
0.000 0.000 0.776
0.333 0.667 0.581
0.667 0.333 0.419
0.333 0.667 0.113
0.667 0.333 0.887
0.333 0.667 0.332
0.333 0.667 0.888
0.667 0.333 0.112
0.667 0.333 0.668
```

Properties
**Space-group type**: P-3m1 (164)
**Raw total energy**: -2.38 eV per atom